# 1
Density functional theory data (PBE) for a relaxed GeF3 crystal.

Calculated values
- DOS at the Fermi energy (states/eV/atom) = 0.12
- formation energy (no corrections) (eV/atom) = -1.338

a = 4.086 Å, b = 4.086 Å, c = 12.967 Å
α = 90.00°, β = 90.00°, γ = 90.00°
Space group I-42d (No. 122)
Unique sites:
Ge  0.000  0.000  0.000
F  0.000  0.000  0.500
F  0.135  0.250  0.125

***

# 2
Density functional theory data (PBE) for a relaxed GeF crystal.

Calculated values
- DOS at the Fermi energy (states/eV/atom) = 0.13
- formation energy (no corrections) (eV/atom) = -1.443

a = 4.432 Å, b = 8.195 Å, c = 7.073 Å
α = 90.00°, β = 90.00°, γ = 90.00°
Space group Cmce (No. 64)
Unique sites:
Ge  0.000  0.069  0.162
F  0.000  0.209  0.611

***

# 3
Density functional theory data (PBE) for a relaxed GeF3 crystal.

Calculated values
- DOS at the Fermi energy (states/eV/atom) = 0.00
- formation energy (no corrections) (eV/atom) = -1.224

a = 3.6551 Å, b = 3.6551 Å, c = 18.4688 Å
α = 90.00°, β = 90.00°, γ = 120.00°
Space group R-3m (No. 166, hexagonal axes)
Unique sites:
Ge  0.0000  0.0000  0.0000
F  0.0000  0.0000  0.3805
F  0.0000  0.0000  0.5000